Run w
# PBE AcNdGaIr, relaxed
data_AcNdGaIr
_chemical_formula_sum 'Ac1 Nd1 Ga1 Ir1'
_space_group_name_H-M_alt 'P 1'
_space_group_IT_number 1
_cell_length_a 5.267
_cell_length_b 5.267
_cell_length_c 5.267
_cell_angle_alpha 60.00
_cell_angle_beta 60.00
_cell_angle_gamma 60.00
loop_
_space_group_symop_operation_xyz
'x,y,z'
loop_
_atom_site_label
_atom_site_type_symbol
_atom_site_fract_x
_atom_site_fract_y
_atom_site_fract_z
Ga1 Ga 0.500 0.500 0.500
Nd1 Nd 0.250 0.250 0.250
Ir1 Ir 0.000 0.000 0.000
Ac1 Ac 0.750 0.750 0.750
# Space group: F-43m
# Calculated volume, Å³/cell: 103

---

Run x
# PBE AcNdGaIr, relaxed
data_AcNdGaIr
_chemical_formula_sum 'Ac1 Nd1 Ga1 Ir1'
_space_group_name_H-M_alt 'P 1'
_space_group_IT_number 1
_cell_length_a 4.479
_cell_length_b 4.442
_cell_length_c 5.829
_cell_angle_alpha 90.00
_cell_angle_beta 112.60
_cell_angle_gamma 90.00
loop_
_space_group_symop_operation_xyz
'x,y,z'
loop_
_atom_site_label
_atom_site_type_symbol
_atom_site_fract_x
_atom_site_fract_y
_atom_site_fract_z
Ac1 Ac 0.745 0.500 0.490
Ir1 Ir 0.461 0.500 0.923
Ga1 Ga 0.333 0.000 0.667
Nd1 Nd 0.030 0.000 0.060
# Space group: Amm2
# Calculated volume, Å³/cell: 107

---

Last place for stability: run w

---

Run w
# PBE SrAcGaIr, relaxed
data_SrAcGaIr
_chemical_formula_sum 'Sr1 Ac1 Ga1 Ir1'
_space_group_name_H-M_alt 'P 1'
_space_group_IT_number 1
_cell_length_a 4.466
_cell_length_b 4.153
_cell_length_c 6.574
_cell_angle_alpha 90.00
_cell_angle_beta 109.86
_cell_angle_gamma 90.00
loop_
_space_group_symop_operation_xyz
'x,y,z'
loop_
_atom_site_label
_atom_site_type_symbol
_atom_site_fract_x
_atom_site_fract_y
_atom_site_fract_z
Sr1 Sr 0.040 0.000 0.080
Ac1 Ac 0.759 0.500 0.517
Ir1 Ir 0.322 0.000 0.644
Ga1 Ga 0.449 0.500 0.898
# Space group: Amm2
# Calculated volume, Å³/cell: 115

---

Run x
# PBE SrAcGaIr, relaxed
data_SrAcGaIr
_chemical_formula_sum 'Sr1 Ac1 Ga1 Ir1'
_space_group_name_H-M_alt 'P 1'
_space_group_IT_number 1
_cell_length_a 5.321
_cell_length_b 5.321
_cell_length_c 5.321
_cell_angle_alpha 60.00
_cell_angle_beta 60.00
_cell_angle_gamma 60.00
loop_
_space_group_symop_operation_xyz
'x,y,z'
loop_
_atom_site_label
_atom_site_type_symbol
_atom_site_fract_x
_atom_site_fract_y
_atom_site_fract_z
Ir1 Ir 0.250 0.250 0.250
Ac1 Ac 0.500 0.500 0.500
Ga1 Ga 0.750 0.750 0.750
Sr1 Sr 0.000 0.000 0.000
# Space group: F-43m
# Calculated volume, Å³/cell: 107

---

Last place for stability: run x

---

Run w
# PBE Ac2LaGa, relaxed
data_Ac2LaGa
_chemical_formula_sum 'Ac2 La1 Ga1'
_space_group_name_H-M_alt 'P 1'
_space_group_IT_number 1
_cell_length_a 3.945
_cell_length_b 3.945
_cell_length_c 9.233
_cell_angle_alpha 90.00
_cell_angle_beta 90.00
_cell_angle_gamma 90.00
loop_
_space_group_symop_operation_xyz
'x,y,z'
loop_
_atom_site_label
_atom_site_type_symbol
_atom_site_fract_x
_atom_site_fract_y
_atom_site_fract_z
Ac1 Ac 0.000 0.000 0.204
Ac2 Ac 0.000 0.000 0.796
La1 La 0.500 0.500 0.500
Ga1 Ga 0.500 0.500 0.000
# Space group: P4/mmm
# Calculated volume, Å³/cell: 144

---

Run x
# PBE Ac2LaGa, relaxed
data_Ac2LaGa
_chemical_formula_sum 'Ac2 La1 Ga1'
_space_group_name_H-M_alt 'P 1'
_space_group_IT_number 1
_cell_length_a 3.982
_cell_length_b 3.982
_cell_length_c 11.257
_cell_angle_alpha 79.82
_cell_angle_beta 79.82
_cell_angle_gamma 60.03
loop_
_space_group_symop_operation_xyz
'x,y,z'
loop_
_atom_site_label
_atom_site_type_symbol
_atom_site_fract_x
_atom_site_fract_y
_atom_site_fract_z
Ac1 Ac 0.263 0.263 0.211
Ac2 Ac 0.070 0.070 0.789
La1 La 0.500 0.500 0.500
Ga1 Ga 0.667 0.667 0.000
# Space group: R3m
# Calculated volume, Å³/cell: 151

---

Run y
# PBE Ac2LaGa, relaxed
data_Ac2LaGa
_chemical_formula_sum 'Ac2 La1 Ga1'
_space_group_name_H-M_alt 'P 1'
_space_group_IT_number 1
_cell_length_a 4.991
_cell_length_b 5.213
_cell_length_c 5.213
_cell_angle_alpha 90.00
_cell_angle_beta 90.00
_cell_angle_gamma 90.00
loop_
_space_group_symop_operation_xyz
'x,y,z'
loop_
_atom_site_label
_atom_site_type_symbol
_atom_site_fract_x
_atom_site_fract_y
_atom_site_fract_z
Ac1 Ac 0.000 0.000 0.500
Ac2 Ac 0.000 0.500 0.000
La1 La 0.500 0.500 0.500
Ga1 Ga 0.500 0.000 0.000
# Space group: P4/mmm
# Calculated volume, Å³/cell: 136

---

Last place for stability: run x

---

Run w
# PBE AcLa2Ga, relaxed
data_AcLa2Ga
_chemical_formula_sum 'Ac1 La2 Ga1'
_space_group_name_H-M_alt 'P 1'
_space_group_IT_number 1
_cell_length_a 5.157
_cell_length_b 5.157
_cell_length_c 6.710
_cell_angle_alpha 67.40
_cell_angle_beta 67.40
_cell_angle_gamma 60.00
loop_
_space_group_symop_operation_xyz
'x,y,z'
loop_
_atom_site_label
_atom_site_type_symbol
_atom_site_fract_x
_atom_site_fract_y
_atom_site_fract_z
La1 La 0.274 0.274 0.178
La2 La 0.726 0.726 0.822
Ga1 Ga 0.000 0.000 0.000
Ac1 Ac 0.500 0.500 0.500
# Space group: R-3m
# Calculated volume, Å³/cell: 138

---

Run x
# PBE AcLa2Ga, relaxed
data_AcLa2Ga
_chemical_formula_sum 'Ac1 La2 Ga1'
_space_group_name_H-M_alt 'P 1'
_space_group_IT_number 1
_cell_length_a 3.922
_cell_length_b 3.922
_cell_length_c 10.996
_cell_angle_alpha 79.73
_cell_angle_beta 79.73
_cell_angle_gamma 60.00
loop_
_space_group_symop_operation_xyz
'x,y,z'
loop_
_atom_site_label
_atom_site_type_symbol
_atom_site_fract_x
_atom_site_fract_y
_atom_site_fract_z
Ga1 Ga 0.666 0.666 0.001
Ac1 Ac 0.500 0.500 0.499
La1 La 0.266 0.266 0.203
La2 La 0.068 0.068 0.797
# Space group: R3m
# Calculated volume, Å³/cell: 143

---

Last place for stability: run w